Record 1
A plane-wave DFT calculation with PBE was carried out for a relaxed CdIn2RuO crystal.

Calculated values
Mass density, g cm⁻³: 8.3
ΔE_f (raw), meV per atom: 128.6
SG: P4/mmm (123)
Total magnetic moment, Bohr magnetons per cell: 0.00

Geometry as CIF:
```
data_CdIn2RuO
_chemical_formula_sum 'Cd1 In2 Ru1 O1'
_cell_length_a 4.5466
_cell_length_b 4.5466
_cell_length_c 4.4343
_cell_angle_alpha 90.00
_cell_angle_beta 90.00
_cell_angle_gamma 90.00
_space_group_name_H-M_alt 'P 1'
_space_group_IT_number 1
loop_
_space_group_symop_operation_xyz
'x,y,z'
loop_
_atom_site_label
_atom_site_fract_x
_atom_site_fract_y
_atom_site_fract_z
_atom_site_occupancy
Cd1 0.0000 0.0000 0.0000 1
In1 0.0000 0.5000 0.5000 1
In2 0.5000 0.0000 0.5000 1
Ru1 0.5000 0.5000 0.0000 1
O1 0.0000 0.0000 0.5000 1
```



Record 2
A plane-wave DFT calculation with PBE was carried out for a relaxed Cd2InSbO6 crystal.

Calculated values
Mass density, g cm⁻³: 7.1
ΔE_f (raw), meV per atom: -1334.9
SG: R3 (146)
Total magnetic moment, Bohr magnetons per cell: 0.00

Geometry as CIF:
```
data_Cd2InSbO6
_chemical_formula_sum 'Cd2 In1 Sb1 O6'
_cell_length_a 5.7797
_cell_length_b 5.7797
_cell_length_c 5.7797
_cell_angle_alpha 58.20
_cell_angle_beta 58.20
_cell_angle_gamma 58.20
_space_group_name_H-M_alt 'P 1'
_space_group_IT_number 1
loop_
_space_group_symop_operation_xyz
'x,y,z'
loop_
_atom_site_label
_atom_site_fract_x
_atom_site_fract_y
_atom_site_fract_z
_atom_site_occupancy
Cd1 0.0000 0.0000 0.0000 1
Cd2 0.4966 0.4966 0.4966 1
In1 0.2268 0.2268 0.2268 1
Sb1 0.7218 0.7218 0.7218 1
O1 0.0696 0.4638 0.8497 1
O2 0.3693 0.9344 0.5956 1
O3 0.4638 0.8497 0.0696 1
O4 0.5956 0.3693 0.9344 1
O5 0.8497 0.0696 0.4638 1
O6 0.9344 0.5956 0.3693 1
```



Record 3
A plane-wave DFT calculation with PBE was carried out for a relaxed CdIn2SbO crystal.

Calculated values
Mass density, g cm⁻³: 6.8
ΔE_f (raw), meV per atom: -163.3
SG: P4/mmm (123)
Total magnetic moment, Bohr magnetons per cell: 0.00

Geometry as CIF:
```
data_CdIn2SbO
_chemical_formula_sum 'Cd1 In2 Sb1 O1'
_cell_length_a 5.0453
_cell_length_b 5.0453
_cell_length_c 4.6136
_cell_angle_alpha 90.00
_cell_angle_beta 90.00
_cell_angle_gamma 90.00
_space_group_name_H-M_alt 'P 1'
_space_group_IT_number 1
loop_
_space_group_symop_operation_xyz
'x,y,z'
loop_
_atom_site_label
_atom_site_fract_x
_atom_site_fract_y
_atom_site_fract_z
_atom_site_occupancy
Cd1 0.0000 0.0000 0.0000 1
In1 0.0000 0.5000 0.5000 1
In2 0.5000 0.0000 0.5000 1
Sb1 0.5000 0.5000 0.0000 1
O1 0.5000 0.5000 0.5000 1
```



Record 4
A plane-wave DFT calculation with PBE was carried out for a relaxed Sc4CdInO crystal.

Calculated values
Mass density, g cm⁻³: 4.9
ΔE_f (raw), meV per atom: -1009.1
SG: Cmcm (63)
Total magnetic moment, Bohr magnetons per cell: 0.00

Geometry as CIF:
```
data_Sc4CdInO
_chemical_formula_sum 'Sc8 Cd2 In2 O2'
_cell_length_a 8.1481
_cell_length_b 8.1481
_cell_length_c 6.1787
_cell_angle_alpha 90.00
_cell_angle_beta 90.00
_cell_angle_gamma 135.42
_space_group_name_H-M_alt 'P 1'
_space_group_IT_number 1
loop_
_space_group_symop_operation_xyz
'x,y,z'
loop_
_atom_site_label
_atom_site_fract_x
_atom_site_fract_y
_atom_site_fract_z
_atom_site_occupancy
Sc1 0.0000 0.5000 0.0000 1
Sc2 0.0000 0.5000 0.5000 1
Sc3 0.0849 0.9151 0.7500 1
Sc4 0.4122 0.5878 0.7500 1
Sc5 0.5000 0.0000 0.0000 1
Sc6 0.5000 0.0000 0.5000 1
Sc7 0.5878 0.4122 0.2500 1
Sc8 0.9151 0.0849 0.2500 1
Cd1 0.1125 0.8875 0.2500 1
Cd2 0.8875 0.1125 0.7500 1
In1 0.3897 0.6103 0.2500 1
In2 0.6103 0.3897 0.7500 1
O1 0.2500 0.7500 0.7500 1
O2 0.7500 0.2500 0.2500 1
```



Record 5
A plane-wave DFT calculation with PBE was carried out for a relaxed CdInSi2O6 crystal.

Calculated values
Mass density, g cm⁻³: 4.7
ΔE_f (raw), meV per atom: -2037.6
SG: C2/c (15)
Total magnetic moment, Bohr magnetons per cell: 1.01

Geometry as CIF:
```
data_CdInSi2O6
_chemical_formula_sum 'Cd2 In2 Si4 O12'
_cell_length_a 7.1366
_cell_length_b 7.1366
_cell_length_c 5.4933
_cell_angle_alpha 102.25
_cell_angle_beta 102.25
_cell_angle_gamma 86.24
_space_group_name_H-M_alt 'P 1'
_space_group_IT_number 1
loop_
_space_group_symop_operation_xyz
'x,y,z'
loop_
_atom_site_label
_atom_site_fract_x
_atom_site_fract_y
_atom_site_fract_z
_atom_site_occupancy
Cd1 0.1033 0.8967 0.7500 1
Cd2 0.8967 0.1033 0.2500 1
In1 0.2791 0.7209 0.2500 1
In2 0.7209 0.2791 0.7500 1
Si1 0.2015 0.3709 0.7591 1
Si2 0.3709 0.2015 0.2591 1
Si3 0.6291 0.7985 0.7409 1
Si4 0.7985 0.6291 0.2409 1
O1 0.0247 0.2167 0.6704 1
O2 0.1363 0.5937 0.8438 1
O3 0.2167 0.0247 0.1704 1
O4 0.3148 0.3478 0.5174 1
O5 0.3478 0.3148 0.0174 1
O6 0.4063 0.8637 0.6562 1
O7 0.5937 0.1363 0.3438 1
O8 0.6522 0.6852 0.9826 1
O9 0.6852 0.6522 0.4826 1
O10 0.7833 0.9753 0.8296 1
O11 0.8637 0.4063 0.1562 1
O12 0.9753 0.7833 0.3296 1
```



Record 6
A plane-wave DFT calculation with PBE was carried out for a relaxed Sr2CdIn3O8 crystal.

Calculated values
Mass density, g cm⁻³: 5.6
ΔE_f (raw), meV per atom: -1705.5
SG: R3m (160)
Total magnetic moment, Bohr magnetons per cell: 1.16

Geometry as CIF:
```
data_Sr2CdIn3O8
_chemical_formula_sum 'Sr2 Cd1 In3 O8'
_cell_length_a 6.9212
_cell_length_b 6.9212
_cell_length_c 6.9212
_cell_angle_alpha 58.30
_cell_angle_beta 58.30
_cell_angle_gamma 58.30
_space_group_name_H-M_alt 'P 1'
_space_group_IT_number 1
loop_
_space_group_symop_operation_xyz
'x,y,z'
loop_
_atom_site_label
_atom_site_fract_x
_atom_site_fract_y
_atom_site_fract_z
_atom_site_occupancy
Sr1 0.0000 0.0000 0.0000 1
Sr2 0.3783 0.3783 0.3783 1
Cd1 0.6192 0.6192 0.6192 1
In1 0.0024 0.0024 0.4980 1
In2 0.0024 0.4980 0.0024 1
In3 0.4980 0.0024 0.0024 1
O1 0.2142 0.7471 0.7471 1
O2 0.2363 0.2363 0.2363 1
O3 0.2488 0.2488 0.8012 1
O4 0.2488 0.8012 0.2488 1
O5 0.7471 0.2142 0.7471 1
O6 0.7471 0.7471 0.2142 1
O7 0.7613 0.7613 0.7613 1
O8 0.8012 0.2488 0.2488 1
```